PBE-GGA La2BiP, optimized geometry; D(E_F) = 0.2302 states/eV/atom; symmetry = R-3m; energy relative to the elements = -1.281 eV per atom; V = 127.52 Å³/f.u.; total moment = 0.000 μB/atom; crystal system = trigonal
1.0
2.224 1.284 7.441
-2.224 1.284 7.441
0.000 -2.568 7.441
La Bi P
2 1 1
Cartesian
0.000 0.000 5.380
0.000 0.000 16.944
0.000 0.000 0.000
0.000 0.000 11.162